VASP calculation (GGA-PBE) on an optimized crystal structure of KY2Ta.

a = 8.848 Å, b = 3.469 Å, c = 9.412 Å
α = 90.00°, β = 117.50°, γ = 90.00°
Fractional coordinates of all 8 atoms:
K1 0.000 0.000 0.000
K2 0.382 0.500 0.238
Y1 0.130 0.500 0.473
Y2 0.307 0.000 0.825
Y3 0.730 0.000 0.185
Y4 0.790 0.500 0.587
Ta1 0.477 0.000 0.600
Ta2 0.607 0.500 0.841

The energy above the lowest structure with this stoichiometry is 258 meV per atom. The energy of formation from the pure elements is 211 kJ/mol of formula units. As for the size of the total moment: 0.00 μB/f.u. The value obtained for the density of states at the Fermi level is 9.294 states/eV/cell.